1.
! NaNbCu2Bi (PBE-GGA, relaxed); values from VASP
&SYSTEM
  ibrav = 0, nat = 5, ntyp = 4
/
ATOMIC_SPECIES
Na 22.99 Na.upf
Nb 92.91 Nb.upf
Bi 208.98 Bi.upf
Cu 63.55 Cu.upf
ATOMIC_POSITIONS crystal
Na 0.000 0.000 0.000
Nb 0.000 0.500 0.000
Bi 0.500 0.500 0.500
Cu 0.000 0.000 0.500
Cu 0.500 0.000 0.000
CELL_PARAMETERS angstrom
4.502 0.000 0.000
0.000 5.218 0.000
0.000 0.000 4.502
! Formation energy, eV per atom: 1.323
! Energy, eV per atom: -3.370
! Crystal system: tetragonal
! Polymorph energy (0 for the lowest one), eV per formula unit: 1.19

=====

2.
! NaNbCu2Bi (PBE-GGA, relaxed); values from VASP
&SYSTEM
  ibrav = 0, nat = 5, ntyp = 4
/
ATOMIC_SPECIES
Na 22.99 Na.upf
Nb 92.91 Nb.upf
Bi 208.98 Bi.upf
Cu 63.55 Cu.upf
ATOMIC_POSITIONS crystal
Na 0.500 0.500 0.500
Nb 0.000 0.500 0.000
Bi 0.000 0.000 0.000
Cu 0.000 0.000 0.500
Cu 0.500 0.000 0.000
CELL_PARAMETERS angstrom
-2.779 3.999 1.174
-3.553 -3.232 2.597
2.597 0.558 4.248
! Formation energy, eV per atom: 1.084
! Energy, eV per atom: -3.609
! Crystal system: tetragonal
! Polymorph energy (0 for the lowest one), eV per formula unit: 0.00

=====

3.
! Na3CuBi3O8 (PBE-GGA, relaxed); values from VASP
&SYSTEM
  ibrav = 0, nat = 15, ntyp = 4
/
ATOMIC_SPECIES
Na 22.99 Na.upf
Cu 63.55 Cu.upf
Bi 208.98 Bi.upf
O 16.00 O.upf
ATOMIC_POSITIONS crystal
Na 0.000 0.000 0.000
Na 0.000 0.500 0.000
Na 0.500 0.500 0.000
Cu 0.000 0.000 0.500
Bi 0.500 0.000 0.500
Bi 0.500 0.500 0.500
Bi 0.000 0.500 0.500
O 0.255 0.509 0.264
O 0.745 0.491 0.736
O 0.781 0.563 0.299
O 0.219 0.437 0.701
O 0.782 0.017 0.299
O 0.218 0.983 0.701
O 0.236 0.017 0.299
O 0.764 0.983 0.701
CELL_PARAMETERS angstrom
6.825 0.000 0.000
-3.413 5.910 -0.020
0.000 -3.921 5.663
! Energy, eV per atom: -5.039
! Crystal system: trigonal
! E_form (uncorrected), eV per atom: -1.08

=====

4.
! Na4CuBi3O8 (PBE-GGA, relaxed); values from VASP
&SYSTEM
  ibrav = 0, nat = 16, ntyp = 4
/
ATOMIC_SPECIES
Na 22.99 Na.upf
Cu 63.55 Cu.upf
Bi 208.98 Bi.upf
O 16.00 O.upf
ATOMIC_POSITIONS crystal
Na 0.500 0.000 0.000
Na 0.500 0.000 0.500
Na 0.000 0.000 0.000
Na 0.000 0.000 0.500
Cu 0.000 0.500 0.000
Bi 0.500 0.500 0.000
Bi 0.500 0.500 0.500
Bi 0.000 0.500 0.500
O 0.188 0.685 0.956
O 0.283 0.766 0.566
O 0.264 0.264 0.527
O 0.768 0.685 0.956
O 0.232 0.315 0.044
O 0.736 0.736 0.473
O 0.717 0.234 0.434
O 0.812 0.315 0.044
CELL_PARAMETERS angstrom
6.750 0.000 0.000
0.000 6.737 0.012
-3.375 -3.352 5.187
! Energy, eV per atom: -4.968
! Crystal system: monoclinic
! E_form (uncorrected), eV per atom: -1.18

=====

5.
! Na2CuBiO4 (PBE-GGA, relaxed); values from VASP
&SYSTEM
  ibrav = 0, nat = 8, ntyp = 4
/
ATOMIC_SPECIES
Na 22.99 Na.upf
Cu 63.55 Cu.upf
Bi 208.98 Bi.upf
O 16.00 O.upf
ATOMIC_POSITIONS crystal
Na 0.500 0.750 0.250
Na 0.000 0.000 0.000
Cu 0.000 0.500 0.500
Bi 0.500 0.250 0.750
O 0.552 0.287 0.347
O 0.060 0.264 0.713
O 0.940 0.653 0.204
O 0.448 0.796 0.736
CELL_PARAMETERS angstrom
-0.629 -0.417 -5.204
-4.049 -1.948 2.731
0.191 4.984 1.664
! Energy, eV per atom: -4.881
! Crystal system: tetragonal
! E_form (uncorrected), eV per atom: -1.07

=====

6.
! Na2CuBiOs (PBE-GGA, relaxed); values from VASP
&SYSTEM
  ibrav = 0, nat = 5, ntyp = 4
/
ATOMIC_SPECIES
Na 22.99 Na.upf
Os 190.23 Os.upf
Bi 208.98 Bi.upf
Cu 63.55 Cu.upf
ATOMIC_POSITIONS crystal
Na 0.000 0.000 0.500
Na 0.500 0.000 0.000
Os 0.500 0.500 0.500
Bi 0.000 0.000 0.000
Cu 0.000 0.500 0.000
CELL_PARAMETERS angstrom
5.944 0.000 0.000
0.000 4.881 0.000
0.000 0.000 5.944
! Formation energy, eV per atom: 1.486
! Energy, eV per atom: -2.883
! Crystal system: tetragonal

=====

7.
! Na2CuBiPd (PBE-GGA, relaxed); values from VASP
&SYSTEM
  ibrav = 0, nat = 5, ntyp = 4
/
ATOMIC_SPECIES
Na 22.99 Na.upf
Cu 63.55 Cu.upf
Bi 208.98 Bi.upf
Pd 106.42 Pd.upf
ATOMIC_POSITIONS crystal
Na 0.000 0.000 0.500
Na 0.500 0.000 0.000
Cu 0.000 0.000 0.000
Bi 0.000 0.500 0.000
Pd 0.500 0.500 0.500
CELL_PARAMETERS angstrom
-2.266 -1.015 4.480
-3.972 -1.780 -2.412
2.094 -4.674 0.001
! Formation energy, eV per atom: 0.328
! Energy, eV per atom: -2.833
! Crystal system: tetragonal

=====

8.
! Na4CuBi3S8 (PBE-GGA, relaxed); values from VASP
&SYSTEM
  ibrav = 0, nat = 16, ntyp = 4
/
ATOMIC_SPECIES
Na 22.99 Na.upf
Cu 63.55 Cu.upf
Bi 208.98 Bi.upf
S 32.06 S.upf
ATOMIC_POSITIONS crystal
Na 0.500 0.000 0.000
Na 0.500 0.000 0.500
Na 0.000 0.000 0.000
Na 0.000 0.000 0.500
Cu 0.000 0.500 0.000
Bi 0.500 0.500 0.000
Bi 0.500 0.500 0.500
Bi 0.000 0.500 0.500
S 0.197 0.696 0.983
S 0.279 0.769 0.557
S 0.259 0.260 0.519
S 0.787 0.696 0.983
S 0.213 0.304 0.017
S 0.741 0.740 0.481
S 0.721 0.231 0.443
S 0.803 0.304 0.017
CELL_PARAMETERS angstrom
7.884 0.000 0.000
0.000 8.091 0.194
-3.942 -3.902 5.831
! Energy, eV per atom: -3.991
! Crystal system: monoclinic
! E_form (uncorrected), eV per atom: -0.61

=====

9.
! NaCuBi2Se4 (PBE-GGA, relaxed); values from VASP
&SYSTEM
  ibrav = 0, nat = 16, ntyp = 4
/
ATOMIC_SPECIES
Na 22.99 Na.upf
Cu 63.55 Cu.upf
Bi 208.98 Bi.upf
Se 78.96 Se.upf
ATOMIC_POSITIONS crystal
Na 0.109 0.218 0.750
Na 0.891 0.782 0.250
Cu 0.853 0.707 0.750
Cu 0.147 0.293 0.250
Bi 0.364 0.727 0.564
Bi 0.636 0.273 0.064
Bi 0.636 0.273 0.436
Bi 0.364 0.727 0.936
Se 0.272 0.544 0.121
Se 0.728 0.456 0.621
Se 0.728 0.456 0.879
Se 0.272 0.544 0.379
Se 0.000 0.000 0.500
Se 0.000 0.000 0.000
Se 0.448 0.895 0.750
Se 0.552 0.105 0.250
CELL_PARAMETERS angstrom
4.154 0.000 0.000
-2.077 6.975 0.000
0.000 0.000 14.667
! Energy, eV per atom: -3.860
! Crystal system: orthorhombic
! E_form (uncorrected), eV per atom: -0.47

=====

10.
! NaCuBiTe3 (PBE-GGA, relaxed); values from VASP
&SYSTEM
  ibrav = 0, nat = 12, ntyp = 4
/
ATOMIC_SPECIES
Na 22.99 Na.upf
Cu 63.55 Cu.upf
Bi 208.98 Bi.upf
Te 127.60 Te.upf
ATOMIC_POSITIONS crystal
Na 0.250 0.673 0.131
Na 0.750 0.327 0.869
Cu 0.250 0.079 0.578
Cu 0.750 0.921 0.422
Bi 0.750 0.787 0.811
Bi 0.250 0.213 0.189
Te 0.250 0.790 0.480
Te 0.750 0.936 0.147
Te 0.750 0.449 0.219
Te 0.750 0.210 0.520
Te 0.250 0.551 0.781
Te 0.250 0.064 0.853
CELL_PARAMETERS angstrom
4.164 0.000 0.000
0.000 9.752 0.024
0.000 -3.697 9.024
! Energy, eV per atom: -3.396
! Crystal system: monoclinic
! E_form (uncorrected), eV per atom: -0.28

=====

11.
! NaCuBiTe2 (PBE-GGA, relaxed); values from VASP
&SYSTEM
  ibrav = 0, nat = 10, ntyp = 4
/
ATOMIC_SPECIES
Na 22.99 Na.upf
Cu 63.55 Cu.upf
Bi 208.98 Bi.upf
Te 127.60 Te.upf
ATOMIC_POSITIONS crystal
Na 0.145 0.500 0.750
Na 0.855 0.500 0.250
Cu 0.000 0.000 0.000
Cu 0.000 0.000 0.500
Bi 0.481 0.000 0.250
Bi 0.519 0.000 0.750
Te 0.652 0.730 0.971
Te 0.652 0.270 0.529
Te 0.348 0.730 0.471
Te 0.348 0.270 0.029
CELL_PARAMETERS angstrom
4.287 0.000 0.000
0.000 7.797 0.486
0.000 -1.840 8.902
! Energy, eV per atom: -3.341
! Crystal system: monoclinic
! E_form (uncorrected), eV per atom: -0.22

=====

12.
! NaTlCuBi (PBE-GGA, relaxed); values from VASP
&SYSTEM
  ibrav = 0, nat = 4, ntyp = 4
/
ATOMIC_SPECIES
Na 22.99 Na.upf
Tl 204.38 Tl.upf
Bi 208.98 Bi.upf
Cu 63.55 Cu.upf
ATOMIC_POSITIONS crystal
Na 0.250 0.250 0.250
Tl 0.000 0.000 0.000
Bi 0.500 0.500 0.500
Cu 0.750 0.750 0.750
CELL_PARAMETERS angstrom
-4.943 -1.315 -0.402
-1.980 -1.163 -4.588
-1.285 -4.847 -1.085
! Formation energy, eV per atom: 0.049
! Energy, eV per atom: -2.866
! Crystal system: cubic

=====

13.
! Na2ZrCuBi (PBE-GGA, relaxed); values from VASP
&SYSTEM
  ibrav = 0, nat = 5, ntyp = 4
/
ATOMIC_SPECIES
Na 22.99 Na.upf
Cu 63.55 Cu.upf
Bi 208.98 Bi.upf
Zr 91.22 Zr.upf
ATOMIC_POSITIONS crystal
Na 0.000 0.000 0.500
Na 0.500 0.000 0.000
Cu 0.000 0.000 0.000
Bi 0.000 0.500 0.000
Zr 0.500 0.500 0.500
CELL_PARAMETERS angstrom
-0.949 3.399 -3.471
2.063 -3.211 -3.710
-4.463 -2.007 -0.745
! Formation energy, eV per atom: 0.606
! Energy, eV per atom: -3.227
! Crystal system: tetragonal

=====

14.
! Nb2CuBi2 (PBE-GGA, relaxed); values from VASP
&SYSTEM
  ibrav = 0, nat = 5, ntyp = 3
/
ATOMIC_SPECIES
Nb 92.91 Nb.upf
Bi 208.98 Bi.upf
Cu 63.55 Cu.upf
ATOMIC_POSITIONS crystal
Nb 0.411 0.411 0.178
Nb 0.589 0.589 0.822
Bi 0.750 0.250 0.500
Bi 0.250 0.750 0.500
Cu 0.000 0.000 0.000
CELL_PARAMETERS angstrom
-2.049 -2.557 2.799
3.785 -1.549 1.357
1.179 2.758 6.700
! Formation energy, eV per atom: 0.894
! Energy, eV per atom: -5.506
! Crystal system: tetragonal
! Polymorph energy (0 for the lowest one), eV per formula unit: 2.75

=====

15.
! Nb2CuBi2 (PBE-GGA, relaxed); values from VASP
&SYSTEM
  ibrav = 0, nat = 10, ntyp = 3
/
ATOMIC_SPECIES
Nb 92.91 Nb.upf
Bi 208.98 Bi.upf
Cu 63.55 Cu.upf
ATOMIC_POSITIONS crystal
Nb 0.359 0.859 0.000
Nb 0.859 0.641 0.000
Nb 0.641 0.141 0.000
Nb 0.141 0.359 0.000
Bi 0.160 0.660 0.500
Bi 0.660 0.840 0.500
Bi 0.840 0.340 0.500
Bi 0.340 0.160 0.500
Cu 0.000 0.000 0.000
Cu 0.500 0.500 0.000
CELL_PARAMETERS angstrom
-6.009 -3.908 1.836
4.055 -4.030 4.697
-0.790 2.573 2.890
! Formation energy, eV per atom: 0.343
! Energy, eV per atom: -6.057
! Crystal system: tetragonal
! Polymorph energy (0 for the lowest one), eV per formula unit: 0.00

=====

16.
! NbCuBi2 (PBE-GGA, relaxed); values from VASP
&SYSTEM
  ibrav = 0, nat = 8, ntyp = 3
/
ATOMIC_SPECIES
Nb 92.91 Nb.upf
Bi 208.98 Bi.upf
Cu 63.55 Cu.upf
ATOMIC_POSITIONS crystal
Nb 0.000 0.000 0.000
Nb 0.750 0.250 0.500
Bi 0.612 0.125 0.250
Bi 0.138 0.625 0.250
Bi 0.375 0.388 0.750
Bi 0.875 0.862 0.750
Cu 0.500 0.500 0.000
Cu 0.250 0.750 0.500
CELL_PARAMETERS angstrom
6.407 0.000 0.000
0.000 6.407 0.000
3.203 3.203 6.125
! Formation energy, eV per atom: 0.744
! Energy, eV per atom: -4.738
! Crystal system: tetragonal

=====

17.
! NbCu2Bi (PBE-GGA, relaxed); values from VASP
&SYSTEM
  ibrav = 0, nat = 8, ntyp = 3
/
ATOMIC_SPECIES
Nb 92.91 Nb.upf
Bi 208.98 Bi.upf
Cu 63.55 Cu.upf
ATOMIC_POSITIONS crystal
Nb 0.500 0.500 0.000
Nb 0.250 0.750 0.500
Bi 0.000 0.000 0.000
Bi 0.750 0.250 0.500
Cu 0.618 0.125 0.250
Cu 0.132 0.625 0.250
Cu 0.375 0.382 0.750
Cu 0.875 0.868 0.750
CELL_PARAMETERS angstrom
7.296 0.000 0.000
0.000 7.296 0.000
3.648 3.648 2.810
! Formation energy, eV per atom: 0.483
! Energy, eV per atom: -5.053
! Crystal system: tetragonal

=====

18.
! NbCuBi2 (PBE-GGA, relaxed); values from VASP
&SYSTEM
  ibrav = 0, nat = 4, ntyp = 3
/
ATOMIC_SPECIES
Nb 92.91 Nb.upf
Bi 208.98 Bi.upf
Cu 63.55 Cu.upf
ATOMIC_POSITIONS crystal
Nb 0.000 0.000 0.000
Bi 0.097 0.097 0.709
Bi 0.903 0.903 0.291
Cu 0.500 0.500 0.500
CELL_PARAMETERS angstrom
3.315 0.000 0.000
1.658 2.871 0.000
1.658 0.957 10.014
! Formation energy, eV per atom: 0.701
! Energy, eV per atom: -4.781
! Crystal system: trigonal

=====

19.
! NbCu3Bi (PBE-GGA, relaxed); values from VASP
&SYSTEM
  ibrav = 0, nat = 5, ntyp = 3
/
ATOMIC_SPECIES
Nb 92.91 Nb.upf
Bi 208.98 Bi.upf
Cu 63.55 Cu.upf
ATOMIC_POSITIONS crystal
Nb 0.000 0.000 0.000
Bi 0.500 0.500 0.500
Cu 0.000 0.500 0.000
Cu 0.000 0.000 0.500
Cu 0.500 0.000 0.000
CELL_PARAMETERS angstrom
4.800 0.000 0.000
0.000 4.800 0.000
0.000 0.000 4.800
! Formation energy, eV per atom: 1.190
! Energy, eV per atom: -4.058
! Crystal system: cubic
! Polymorph energy (0 for the lowest one), eV per formula unit: 0.00

=====

20.
! NbCuBi2 (PBE-GGA, relaxed); values from VASP
&SYSTEM
  ibrav = 0, nat = 4, ntyp = 3
/
ATOMIC_SPECIES
Nb 92.91 Nb.upf
Bi 208.98 Bi.upf
Cu 63.55 Cu.upf
ATOMIC_POSITIONS crystal
Nb 0.500 0.500 0.500
Bi 0.250 0.250 0.250
Bi 0.750 0.750 0.750
Cu 0.000 0.000 0.000
CELL_PARAMETERS angstrom
0.000 3.556 3.556
3.556 0.000 3.556
3.556 3.556 0.000
! Formation energy, eV per atom: 0.532
! Energy, eV per atom: -4.950
! Crystal system: cubic

=====

21.
! NbCuBi2O6 (PBE-GGA, relaxed); values from VASP
&SYSTEM
  ibrav = 0, nat = 20, ntyp = 4
/
ATOMIC_SPECIES
Nb 92.91 Nb.upf
Cu 63.55 Cu.upf
Bi 208.98 Bi.upf
O 16.00 O.upf
ATOMIC_POSITIONS crystal
Nb 0.000 0.500 0.500
Nb 0.500 0.000 0.000
Cu 0.000 0.500 0.000
Cu 0.500 0.000 0.500
Bi 0.999 0.983 0.204
Bi 0.501 0.483 0.296
Bi 0.499 0.517 0.704
Bi 0.001 0.017 0.796
O 0.819 0.283 0.640
O 0.793 0.216 0.019
O 0.878 0.284 0.346
O 0.622 0.784 0.154
O 0.707 0.716 0.481
O 0.681 0.783 0.860
O 0.319 0.217 0.140
O 0.293 0.284 0.519
O 0.378 0.216 0.846
O 0.207 0.784 0.981
O 0.122 0.716 0.654
O 0.181 0.717 0.360
CELL_PARAMETERS angstrom
5.735 0.000 0.058
0.000 5.187 0.000
0.044 0.000 9.873
! Energy, eV per atom: -6.701
! Crystal system: monoclinic
! E_form (uncorrected), eV per atom: -1.53

=====

22.
! Nb2CuBiO8 (PBE-GGA, relaxed); values from VASP
&SYSTEM
  ibrav = 0, nat = 12, ntyp = 4
/
ATOMIC_SPECIES
Nb 92.91 Nb.upf
Cu 63.55 Cu.upf
Bi 208.98 Bi.upf
O 16.00 O.upf
ATOMIC_POSITIONS crystal
Nb 0.667 0.333 0.127
Nb 0.333 0.667 0.873
Cu 0.000 0.000 0.000
Bi 0.000 0.000 0.500
O 0.950 0.658 0.837
O 0.342 0.292 0.837
O 0.708 0.050 0.837
O 0.050 0.342 0.163
O 0.658 0.708 0.163
O 0.292 0.950 0.163
O 0.667 0.333 0.430
O 0.333 0.667 0.570
CELL_PARAMETERS angstrom
5.291 0.000 0.000
-2.645 4.582 0.000
0.000 0.000 6.012
! Energy, eV per atom: -7.185
! Crystal system: trigonal
! E_form (uncorrected), eV per atom: -1.54

=====

23.
! Nb2CuBiO (PBE-GGA, relaxed); values from VASP
&SYSTEM
  ibrav = 0, nat = 5, ntyp = 4
/
ATOMIC_SPECIES
O 16.00 O.upf
Nb 92.91 Nb.upf
Bi 208.98 Bi.upf
Cu 63.55 Cu.upf
ATOMIC_POSITIONS crystal
O 0.000 0.500 0.000
Nb 0.000 0.000 0.500
Nb 0.500 0.000 0.000
Bi 0.500 0.500 0.500
Cu 0.000 0.000 0.000
CELL_PARAMETERS angstrom
4.995 0.000 0.000
0.000 3.614 0.000
0.000 0.000 4.995
! Energy, eV per atom: -6.064
! Crystal system: tetragonal
! E_form (uncorrected), eV per atom: 0.55

=====

24.
! RbNb2CuBi (PBE-GGA, relaxed); values from VASP
&SYSTEM
  ibrav = 0, nat = 5, ntyp = 4
/
ATOMIC_SPECIES
Nb 92.91 Nb.upf
Cu 63.55 Cu.upf
Bi 208.98 Bi.upf
Rb 85.47 Rb.upf
ATOMIC_POSITIONS crystal
Nb 0.000 0.000 0.500
Nb 0.500 0.000 0.000
Cu 0.500 0.500 0.500
Bi 0.000 0.500 0.000
Rb 0.000 0.000 0.000
CELL_PARAMETERS angstrom
-3.751 0.002 3.086
-1.816 -5.155 -2.202
2.699 -2.353 3.282
! Formation energy, eV per atom: 2.750
! Energy, eV per atom: -3.067
! Crystal system: tetragonal